1.
Material: PrYRh
Method: DFT, PBE
State: optimized geometry

Output
DOS(E_F) ... 7.60 states/eV/cell

```
data_PrYRh
_chemical_formula_sum 'Pr2 Y2 Rh2'
_space_group_name_H-M_alt 'I 4 m m'
_space_group_IT_number 107
_space_group_name_Hall 'I 4 -2'
_cell_length_a 3.5298
_cell_length_b 3.5298
_cell_length_c 12.9222
_cell_angle_alpha 90.00
_cell_angle_beta 90.00
_cell_angle_gamma 90.00
loop_
_atom_site_label
_atom_site_type_symbol
_atom_site_fract_x
_atom_site_fract_y
_atom_site_fract_z
_atom_site_occupancy
Pr1 Pr 0.0000 0.0000 0.0000 1
Y1 Y 0.0000 0.0000 0.2598 1
Rh1 Rh 0.0000 0.0000 0.6400 1
```



2.
Material: PrYRh
Method: DFT, PBE
State: optimized geometry

Output
DOS(E_F) ... 6.19 states/eV/cell

```
data_PrYRh
_chemical_formula_sum 'Pr2 Y2 Rh2'
_space_group_name_H-M_alt 'P 1 21/m 1'
_space_group_IT_number 11
_cell_length_a 5.8870
_cell_length_b 4.5128
_cell_length_c 6.6619
_cell_angle_alpha 90.00
_cell_angle_beta 106.39
_cell_angle_gamma 90.00
loop_
_space_group_symop_operation_xyz
'x,y,z'
'-x,-y,-z'
'-x,y+1/2,-z'
'x,-y+1/2,z'
loop_
_atom_site_label
_atom_site_type_symbol
_atom_site_fract_x
_atom_site_fract_y
_atom_site_fract_z
_atom_site_occupancy
Pr1 Pr 0.0703 0.2500 0.2849 1
Y1 Y 0.4746 0.2500 0.7966 1
Rh1 Rh 0.3389 0.7500 0.5505 1
```



2 is the most stable structure; the next one sits 0.034 eV/atom above it.



1.
Material: PrY3Rh
Method: DFT, PBE
State: optimized geometry

Output
DOS(E_F) ... 8.19 states/eV/cell

```
data_PrY3Rh
_chemical_formula_sum 'Pr1 Y3 Rh1'
_space_group_name_H-M_alt 'P m -3 m'
_space_group_IT_number 221
_space_group_name_Hall '-P 4 2 3'
_cell_length_a 5.4512
_cell_length_b 5.4512
_cell_length_c 5.4512
_cell_angle_alpha 90.00
_cell_angle_beta 90.00
_cell_angle_gamma 90.00
loop_
_atom_site_label
_atom_site_type_symbol
_atom_site_fract_x
_atom_site_fract_y
_atom_site_fract_z
_atom_site_occupancy
Pr1 Pr 0.0000 0.0000 0.0000 1
Y1 Y 0.0000 0.5000 0.5000 1
Rh1 Rh 0.5000 0.5000 0.5000 1
```



2.
Material: PrY3Rh
Method: DFT, PBE
State: optimized geometry

Output
DOS(E_F) ... 12.92 states/eV/cell

```
data_PrY3Rh
_chemical_formula_sum 'Pr2 Y6 Rh2'
_space_group_name_H-M_alt 'P m n 21'
_space_group_IT_number 31
_cell_length_a 7.6527
_cell_length_b 6.5793
_cell_length_c 6.2470
_cell_angle_alpha 90.00
_cell_angle_beta 90.00
_cell_angle_gamma 90.00
loop_
_space_group_symop_operation_xyz
'x,y,z'
'-x+1/2,-y,z+1/2'
'-x,y,z'
'x+1/2,-y,z+1/2'
loop_
_atom_site_label
_atom_site_type_symbol
_atom_site_fract_x
_atom_site_fract_y
_atom_site_fract_z
_atom_site_occupancy
Pr1 Pr 0.0000 0.1467 0.0000 1
Y1 Y 0.0000 0.8455 0.4831 1
Y2 Y 0.2483 0.3193 0.4933 1
Rh1 Rh 0.0000 0.5067 0.7417 1
```



2 is the most stable structure; the next one sits 0.029 eV/atom above it.



1.
Material: PrZn9Rh2
Method: DFT, PBE
State: optimized geometry

Output
DOS(E_F) ... 25.65 states/eV/cell

```
data_PrZn9Rh2
_chemical_formula_sum 'Pr4 Zn36 Rh8'
_space_group_name_H-M_alt 'I 41/a m d'
_space_group_IT_number 141
_cell_length_a 10.5520
_cell_length_b 10.5520
_cell_length_c 6.9852
_cell_angle_alpha 90.00
_cell_angle_beta 90.00
_cell_angle_gamma 90.00
loop_
_space_group_symop_operation_xyz
'x,y,z'
'-x,-y,-z'
'-y+1/4,x+3/4,z+1/4'
'y+1/4,-x+3/4,-z+1/4'
'-x+1/2,-y,z+1/2'
'x+1/2,y,-z+1/2'
'y+1/4,-x+1/4,z+3/4'
'-y+1/4,x+1/4,-z+3/4'
'x,-y,-z'
'-x,y,z'
'-y+1/4,-x+1/4,-z+3/4'
'y+1/4,x+1/4,z+3/4'
'-x+1/2,y,-z+1/2'
'x+1/2,-y,z+1/2'
'y+1/4,x+3/4,-z+1/4'
'-y+1/4,-x+3/4,z+1/4'
'x+1/2,y+1/2,z+1/2'
'-x+1/2,-y+1/2,-z+1/2'
'-y+3/4,x+1/4,z+3/4'
'y+3/4,-x+1/4,-z+3/4'
'-x,-y+1/2,z'
'x,y+1/2,-z'
'y+3/4,-x+3/4,z+1/4'
'-y+3/4,x+3/4,-z+1/4'
'x+1/2,-y+1/2,-z+1/2'
'-x+1/2,y+1/2,z+1/2'
'-y+3/4,-x+3/4,-z+1/4'
'y+3/4,x+3/4,z+1/4'
'-x,y+1/2,-z'
'x,-y+1/2,z'
'y+3/4,x+1/4,-z+3/4'
'-y+3/4,-x+1/4,z+3/4'
loop_
_atom_site_label
_atom_site_type_symbol
_atom_site_fract_x
_atom_site_fract_y
_atom_site_fract_z
_atom_site_occupancy
Pr1 Pr 0.0000 0.2500 0.3750 1
Zn1 Zn 0.0000 0.2500 0.8750 1
Zn2 Zn 0.1219 0.0429 0.6828 1
Rh1 Rh 0.0000 0.0000 0.0000 1
```



2.
Material: PrZn9Rh2
Method: DFT, PBE
State: optimized geometry

Output
DOS(E_F) ... 6.41 states/eV/cell

```
data_PrZn9Rh2
_chemical_formula_sum 'Pr1 Zn9 Rh2'
_space_group_name_H-M_alt 'P 6/m m m'
_space_group_IT_number 191
_space_group_name_Hall '-P 6 2'
_cell_length_a 8.7205
_cell_length_b 8.7205
_cell_length_c 3.0531
_cell_angle_alpha 90.00
_cell_angle_beta 90.00
_cell_angle_gamma 120.00
loop_
_atom_site_label
_atom_site_type_symbol
_atom_site_fract_x
_atom_site_fract_y
_atom_site_fract_z
_atom_site_occupancy
Pr1 Pr 0.0000 0.0000 0.0000 1
Zn1 Zn 0.0000 0.5000 0.0000 1
Zn2 Zn 0.1891 0.3782 0.5000 1
Rh1 Rh 0.3333 0.6667 0.0000 1
```



1 is the most stable structure; the next one sits 0.099 eV/atom above it.



1.
Material: Pr3ZnRh
Method: DFT, PBE
State: optimized geometry

Output
DOS(E_F) ... 10.04 states/eV/cell

```
data_Pr3ZnRh
_chemical_formula_sum 'Pr6 Zn2 Rh2'
_space_group_name_H-M_alt 'P 1 m 1'
_space_group_IT_number 6
_cell_length_a 6.9993
_cell_length_b 5.3278
_cell_length_c 7.7650
_cell_angle_alpha 90.00
_cell_angle_beta 95.69
_cell_angle_gamma 90.00
loop_
_space_group_symop_operation_xyz
'x,y,z'
'x,-y,z'
loop_
_atom_site_label
_atom_site_type_symbol
_atom_site_fract_x
_atom_site_fract_y
_atom_site_fract_z
_atom_site_occupancy
Pr1 Pr 0.0000 0.0000 0.0000 1
Pr2 Pr 0.0025 0.5000 0.6691 1
Pr3 Pr 0.2725 0.5000 0.2750 1
Pr4 Pr 0.4585 0.5000 0.8445 1
Pr5 Pr 0.5475 0.0000 0.5167 1
Pr6 Pr 0.7788 0.5000 0.2129 1
Zn1 Zn 0.0617 0.0000 0.4130 1
Zn2 Zn 0.4752 0.0000 0.0641 1
Rh1 Rh 0.2358 0.0000 0.7381 1
Rh2 Rh 0.6176 0.5000 0.5198 1
```



2.
Material: Pr3ZnRh
Method: DFT, PBE
State: optimized geometry

Output
DOS(E_F) ... 38.93 states/eV/cell

```
data_Pr3ZnRh
_chemical_formula_sum 'Pr24 Zn8 Rh8'
_space_group_name_H-M_alt 'F m m m'
_space_group_IT_number 69
_space_group_name_Hall '-F 2 2'
_cell_length_a 6.5338
_cell_length_b 9.8963
_cell_length_c 16.4702
_cell_angle_alpha 90.00
_cell_angle_beta 90.00
_cell_angle_gamma 90.00
loop_
_atom_site_label
_atom_site_type_symbol
_atom_site_fract_x
_atom_site_fract_y
_atom_site_fract_z
_atom_site_occupancy
Pr1 Pr 0.0000 0.0000 0.1957 1
Pr2 Pr 0.0000 0.1853 0.3981 1
Zn1 Zn 0.1917 0.0000 0.0000 1
Rh1 Rh 0.2500 0.2500 0.2500 1
```



2 is the most stable structure; the next one sits 0.102 eV/atom above it.



1.
Material: PrZn4Rh
Method: DFT, PBE
State: optimized geometry

```
data_PrZn4Rh
_chemical_formula_sum 'Pr4 Zn16 Rh4'
_space_group_name_H-M_alt 'F -4 3 m'
_space_group_IT_number 216
_space_group_name_Hall 'F -4 2 3'
_cell_length_a 7.4062
_cell_length_b 7.4062
_cell_length_c 7.4062
_cell_angle_alpha 90.00
_cell_angle_beta 90.00
_cell_angle_gamma 90.00
loop_
_atom_site_label
_atom_site_type_symbol
_atom_site_fract_x
_atom_site_fract_y
_atom_site_fract_z
_atom_site_occupancy
Pr1 Pr 0.0000 0.0000 0.0000 1
Zn1 Zn 0.1231 0.1231 0.3769 1
Rh1 Rh 0.2500 0.2500 0.7500 1
```



2.
Material: PrZn4Rh
Method: DFT, PBE
State: optimized geometry

Output
DOS(E_F) ... 9.70 states/eV/cell

```
data_PrZn4Rh
_chemical_formula_sum 'Pr4 Zn16 Rh4'
_space_group_name_H-M_alt 'C m c m'
_space_group_IT_number 63
_space_group_name_Hall '-C 2c 2'
_cell_length_a 4.7669
_cell_length_b 13.7406
_cell_length_c 6.8380
_cell_angle_alpha 90.00
_cell_angle_beta 90.00
_cell_angle_gamma 90.00
loop_
_atom_site_label
_atom_site_type_symbol
_atom_site_fract_x
_atom_site_fract_y
_atom_site_fract_z
_atom_site_occupancy
Pr1 Pr 0.0000 0.1103 0.2500 1
Zn1 Zn 0.0000 0.1018 0.7500 1
Zn2 Zn 0.0000 0.2745 0.5734 1
Zn3 Zn 0.0000 0.5000 0.0000 1
Rh1 Rh 0.0000 0.3604 0.2500 1
```



1 is the most stable structure; the next one sits 0.075 eV/atom above it.



1.
Material: Pr2ZnRh3
Method: DFT, PBE
State: optimized geometry

Output
DOS(E_F) ... 6.96 states/eV/cell

```
data_Pr2ZnRh3
_chemical_formula_sum 'Pr4 Zn2 Rh6'
_space_group_name_H-M_alt 'P 63/m m c'
_space_group_IT_number 194
_space_group_name_Hall '-P 6c 2c'
_cell_length_a 5.6413
_cell_length_b 5.6413
_cell_length_c 8.3298
_cell_angle_alpha 90.00
_cell_angle_beta 90.00
_cell_angle_gamma 120.00
loop_
_atom_site_label
_atom_site_type_symbol
_atom_site_fract_x
_atom_site_fract_y
_atom_site_fract_z
_atom_site_occupancy
Pr1 Pr 0.3333 0.6667 0.0607 1
Zn1 Zn 0.0000 0.0000 0.0000 1
Rh1 Rh 0.1660 0.3319 0.7500 1
```



2.
Material: Pr2ZnRh3
Method: DFT, PBE
State: optimized geometry

Output
DOS(E_F) ... 6.88 states/eV/cell

```
data_Pr2ZnRh3
_chemical_formula_sum 'Pr4 Zn2 Rh6'
_space_group_name_H-M_alt 'I m m m'
_space_group_IT_number 71
_space_group_name_Hall '-I 2 2'
_cell_length_a 4.4970
_cell_length_b 5.4219
_cell_length_c 10.3627
_cell_angle_alpha 90.00
_cell_angle_beta 90.00
_cell_angle_gamma 90.00
loop_
_atom_site_label
_atom_site_type_symbol
_atom_site_fract_x
_atom_site_fract_y
_atom_site_fract_z
_atom_site_occupancy
Pr1 Pr 0.0000 0.0000 0.1858 1
Zn1 Zn 0.0000 0.0000 0.5000 1
Rh1 Rh 0.0000 0.5000 0.1267 1
Rh2 Rh 0.0000 0.5000 0.5000 1
```



1 is the most stable structure; the next one sits 0.292 eV/atom above it.



1.
Material: Pr4ZnRh
Method: DFT, PBE
State: optimized geometry

Output
DOS(E_F) ... 68.91 states/eV/cell

```
data_Pr4ZnRh
_chemical_formula_sum 'Pr64 Zn16 Rh16'
_space_group_name_H-M_alt 'F -4 3 m'
_space_group_IT_number 216
_space_group_name_Hall 'F -4 2 3'
_cell_length_a 13.9917
_cell_length_b 13.9917
_cell_length_c 13.9917
_cell_angle_alpha 90.00
_cell_angle_beta 90.00
_cell_angle_gamma 90.00
loop_
_atom_site_label
_atom_site_type_symbol
_atom_site_fract_x
_atom_site_fract_y
_atom_site_fract_z
_atom_site_occupancy
Pr1 Pr 0.0000 0.0000 0.1874 1
Pr2 Pr 0.0573 0.2500 0.2500 1
Pr3 Pr 0.1020 0.1020 0.6020 1
Zn1 Zn 0.1717 0.1717 0.8283 1
Rh1 Rh 0.1075 0.1075 0.3925 1
```



2.
Material: Pr4ZnRh
Method: DFT, PBE
State: optimized geometry

Output
DOS(E_F) ... 27.37 states/eV/cell

```
data_Pr4ZnRh
_chemical_formula_sum 'Pr16 Zn4 Rh4'
_space_group_name_H-M_alt 'C 1 2/c 1'
_space_group_IT_number 15
_cell_length_a 8.9698
_cell_length_b 13.9961
_cell_length_c 6.2456
_cell_angle_alpha 90.00
_cell_angle_beta 117.67
_cell_angle_gamma 90.00
loop_
_space_group_symop_operation_xyz
'x,y,z'
'-x,-y,-z'
'-x,y,-z+1/2'
'x,-y,z+1/2'
'x+1/2,y+1/2,z'
'-x+1/2,-y+1/2,-z'
'-x+1/2,y+1/2,-z+1/2'
'x+1/2,-y+1/2,z+1/2'
loop_
_atom_site_label
_atom_site_type_symbol
_atom_site_fract_x
_atom_site_fract_y
_atom_site_fract_z
_atom_site_occupancy
Pr1 Pr 0.1192 0.1863 0.0826 1
Pr2 Pr 0.2150 0.4310 0.3196 1
Zn1 Zn 0.0000 0.3760 0.7500 1
Rh1 Rh 0.0000 0.0018 0.2500 1
```



1 is the most stable structure; the next one sits 0.062 eV/atom above it.



1.
Material: Pr2Zn2Rh
Method: DFT, PBE
State: optimized geometry

Output
DOS(E_F) ... 14.14 states/eV/cell

```
data_Pr2Zn2Rh
_chemical_formula_sum 'Pr8 Zn8 Rh4'
_space_group_name_H-M_alt 'C 1 2/m 1'
_space_group_IT_number 12
_cell_length_a 11.3210
_cell_length_b 4.0131
_cell_length_c 11.8445
_cell_angle_alpha 90.00
_cell_angle_beta 117.15
_cell_angle_gamma 90.00
loop_
_space_group_symop_operation_xyz
'x,y,z'
'-x,-y,-z'
'-x,y,-z'
'x,-y,z'
'x+1/2,y+1/2,z'
'-x+1/2,-y+1/2,-z'
'-x+1/2,y+1/2,-z'
'x+1/2,-y+1/2,z'
loop_
_atom_site_label
_atom_site_type_symbol
_atom_site_fract_x
_atom_site_fract_y
_atom_site_fract_z
_atom_site_occupancy
Pr1 Pr 0.0702 0.0000 0.3596 1
Pr2 Pr 0.2079 0.0000 0.1182 1
Zn1 Zn 0.0111 0.5000 0.8859 1
Zn2 Zn 0.1207 0.5000 0.5848 1
Rh1 Rh 0.2278 0.5000 0.3068 1
```



2.
Material: Pr2Zn2Rh
Method: DFT, PBE
State: optimized geometry

Output
DOS(E_F) ... 14.07 states/eV/cell

```
data_Pr2Zn2Rh
_chemical_formula_sum 'Pr8 Zn8 Rh4'
_space_group_name_H-M_alt 'C 1 2/m 1'
_space_group_IT_number 12
_cell_length_a 10.9659
_cell_length_b 4.0282
_cell_length_c 11.2902
_cell_angle_alpha 90.00
_cell_angle_beta 110.83
_cell_angle_gamma 90.00
loop_
_space_group_symop_operation_xyz
'x,y,z'
'-x,-y,-z'
'-x,y,-z'
'x,-y,z'
'x+1/2,y+1/2,z'
'-x+1/2,-y+1/2,-z'
'-x+1/2,y+1/2,-z'
'x+1/2,-y+1/2,z'
loop_
_atom_site_label
_atom_site_type_symbol
_atom_site_fract_x
_atom_site_fract_y
_atom_site_fract_z
_atom_site_occupancy
Pr1 Pr 0.0037 0.0000 0.3394 1
Pr2 Pr 0.1949 0.0000 0.1229 1
Zn1 Zn 0.0232 0.5000 0.8903 1
Zn2 Zn 0.1767 0.5000 0.5494 1
Rh1 Rh 0.1984 0.5000 0.3124 1
```



2 is the most stable structure; the next one sits 0.005 eV/atom above it.